# TlReP

A geometry-optimized TlReP structure (GGA-PBE, Alexandria).

a = 7.938 Å, b = 7.722 Å, c = 2.984 Å
α = 83.12°, β = 74.97°, γ = 21.91°
Fractional coordinates of all 3 atoms:
Tl  0.318  0.318  0.682
Re  0.643  0.643  0.357
P  0.039  0.039  0.961

Its spin magnetization is 0.00 Bohr magnetons per cell. As for the crystal system: orthorhombic. For the total energy, the calculation gives -6.21 eV per atom.